P:
The following is a PBEsol calculation of a relaxed Cu3O4 crystal, from the Alexandria database.

calculated density	5578	kg/m3
DOS at the Fermi energy	4.40	states/eV/f.u.

a = 5.858 Å, b = 5.858 Å, c = 5.858 Å
α = 102.50°, β = 107.88°, γ = 118.46°
Atoms (fractional coordinates):
O1 0.088 0.257 0.346
O2 0.562 0.750 0.812
O3 0.912 0.743 0.654
O4 0.412 0.757 0.169
O5 0.938 0.750 0.188
O6 0.438 0.250 0.188
O7 0.062 0.250 0.812
O8 0.588 0.243 0.831
Cu1 0.000 0.000 0.000
Cu2 0.500 0.500 0.500
Cu3 0.000 0.500 0.000
Cu4 0.000 0.000 0.500
Cu5 0.500 0.500 0.000
Cu6 0.500 0.000 0.000

Q:
The following is a PBEsol calculation of a relaxed Cu3O4 crystal, from the Alexandria database.

calculated density	4855	kg/m3
DOS at the Fermi energy	4.21	states/eV/f.u.

a = 6.269 Å, b = 6.269 Å, c = 6.269 Å
α = 60.00°, β = 60.00°, γ = 60.00°
Atoms (fractional coordinates):
Cu1 0.500 0.500 0.000
Cu2 0.500 0.000 0.000
Cu3 0.000 0.500 0.500
Cu4 0.500 0.000 0.500
Cu5 0.000 0.000 0.500
Cu6 0.000 0.500 0.000
O1 0.142 0.573 0.142
O2 0.858 0.858 0.858
O3 0.142 0.142 0.142
O4 0.573 0.142 0.142
O5 0.427 0.858 0.858
O6 0.858 0.858 0.427
O7 0.858 0.427 0.858
O8 0.142 0.142 0.573

Most stable structure, least stable structure: P, Q.

P:
The following is a PBEsol calculation of a relaxed Cu4P2O9 crystal, from the Alexandria database.

calculated density	4560	kg/m3
DOS at the Fermi energy	1.29	states/eV/f.u.

a = 6.193 Å, b = 7.537 Å, c = 8.016 Å
α = 99.33°, β = 111.66°, γ = 97.92°
Atoms (fractional coordinates):
O1 0.492 0.417 0.333
O2 0.662 0.929 0.814
O3 0.883 0.031 0.261
O4 0.508 0.583 0.667
O5 0.257 0.203 0.531
O6 0.866 0.690 0.975
O7 0.005 0.623 0.675
O8 0.299 0.720 0.199
O9 0.117 0.969 0.739
O10 0.526 0.270 0.036
O11 0.995 0.377 0.325
O12 0.134 0.310 0.025
O13 0.146 0.777 0.460
O14 0.854 0.223 0.540
O15 0.701 0.280 0.801
O16 0.474 0.730 0.964
O17 0.743 0.797 0.469
O18 0.338 0.071 0.186
Cu1 0.601 0.862 0.235
Cu2 0.399 0.138 0.765
Cu3 0.150 0.671 0.937
Cu4 0.345 0.615 0.410
Cu5 0.850 0.329 0.063
Cu6 0.655 0.385 0.590
Cu7 0.873 0.101 0.750
Cu8 0.127 0.899 0.250
P1 0.999 0.786 0.580
P2 0.630 0.735 0.849
P3 0.001 0.214 0.420
P4 0.370 0.265 0.151

Q:
The following is a PBEsol calculation of a relaxed Cu4P2O9 crystal, from the Alexandria database.

calculated density	4530	kg/m3
DOS at the Fermi energy	3.29	states/eV/f.u.

a = 6.252 Å, b = 8.074 Å, c = 13.365 Å
α = 90.00°, β = 90.00°, γ = 90.00°
Atoms (fractional coordinates):
Cu1 0.492 0.353 0.343
Cu2 0.250 0.434 0.912
Cu3 0.508 0.147 0.843
Cu4 0.750 0.358 0.553
Cu5 0.008 0.353 0.343
Cu6 0.992 0.647 0.657
Cu7 0.250 0.642 0.447
Cu8 0.250 0.934 0.588
Cu9 0.750 0.566 0.088
Cu10 0.992 0.147 0.843
Cu11 0.492 0.853 0.157
Cu12 0.008 0.853 0.157
Cu13 0.250 0.142 0.053
Cu14 0.508 0.647 0.657
Cu15 0.750 0.066 0.412
Cu16 0.750 0.858 0.947
O1 0.750 0.802 0.093
O2 0.048 0.113 0.350
O3 0.548 0.387 0.850
O4 0.957 0.586 0.361
O5 0.250 0.406 0.474
O6 0.957 0.086 0.139
O7 0.750 0.620 0.933
O8 0.750 0.120 0.567
O9 0.952 0.387 0.850
O10 0.250 0.162 0.594
O11 0.457 0.914 0.861
O12 0.250 0.698 0.593
O13 0.250 0.899 0.245
O14 0.750 0.838 0.406
O15 0.452 0.613 0.150
O16 0.043 0.914 0.861
O17 0.750 0.594 0.526
O18 0.543 0.086 0.139
O19 0.250 0.906 0.026
O20 0.452 0.113 0.350
O21 0.250 0.880 0.433
O22 0.952 0.887 0.650
O23 0.548 0.887 0.650
O24 0.750 0.601 0.745
O25 0.250 0.399 0.255
O26 0.250 0.662 0.906
O27 0.750 0.094 0.974
O28 0.543 0.586 0.361
O29 0.457 0.414 0.639
O30 0.750 0.302 0.407
O31 0.048 0.613 0.150
O32 0.043 0.414 0.639
O33 0.250 0.198 0.907
O34 0.250 0.380 0.067
O35 0.750 0.338 0.094
O36 0.750 0.101 0.755
P1 0.250 0.848 0.914
P2 0.750 0.152 0.086
P3 0.750 0.497 0.844
P4 0.250 0.348 0.586
P5 0.250 0.003 0.344
P6 0.750 0.997 0.656
P7 0.250 0.503 0.156
P8 0.750 0.652 0.414

Most stable structure, least stable structure: Q, P.

P:
The following is a PBEsol calculation of a relaxed TiCuP2O8 crystal, from the Alexandria database.

calculated density	3475	kg/m3
DOS at the Fermi energy	4.19	states/eV/f.u.

a = 8.429 Å, b = 8.429 Å, c = 8.429 Å
α = 60.90°, β = 60.90°, γ = 60.90°
Atoms (fractional coordinates):
O1 0.242 0.590 0.440
O2 0.676 0.510 0.885
O3 0.262 0.047 0.914
O4 0.085 0.739 0.949
O5 0.047 0.914 0.262
O6 0.510 0.885 0.676
O7 0.986 0.185 0.387
O8 0.000 0.814 0.621
O9 0.410 0.569 0.759
O10 0.569 0.759 0.410
O11 0.590 0.440 0.242
O12 0.885 0.676 0.510
O13 0.621 0.000 0.814
O14 0.493 0.120 0.316
O15 0.387 0.986 0.185
O16 0.316 0.493 0.120
O17 0.949 0.085 0.739
O18 0.759 0.410 0.569
O19 0.914 0.262 0.047
O20 0.814 0.621 0.000
O21 0.739 0.949 0.085
O22 0.185 0.387 0.986
O23 0.440 0.242 0.590
O24 0.120 0.316 0.493
P1 0.752 0.455 0.045
P2 0.540 0.957 0.248
P3 0.045 0.752 0.455
P4 0.248 0.540 0.957
P5 0.957 0.248 0.540
P6 0.455 0.045 0.752
Ti1 0.859 0.859 0.859
Ti2 0.643 0.643 0.643
Ti3 0.357 0.357 0.357
Cu1 0.501 0.501 0.501
Cu2 0.142 0.142 0.142
Cu3 0.001 0.001 0.001

Q:
The following is a PBEsol calculation of a relaxed TiCuP2O8 crystal, from the Alexandria database.

calculated density	3498	kg/m3
DOS at the Fermi energy	0.58	states/eV/f.u.

a = 4.912 Å, b = 5.922 Å, c = 9.841 Å
α = 90.00°, β = 91.70°, γ = 90.00°
Atoms (fractional coordinates):
O1 0.874 0.250 0.553
O2 0.705 0.462 0.833
O3 0.295 0.538 0.167
O4 0.126 0.750 0.447
O5 0.739 0.445 0.328
O6 0.261 0.945 0.672
O7 0.295 0.962 0.167
O8 0.647 0.250 0.054
O9 0.203 0.250 0.361
O10 0.266 0.250 0.882
O11 0.797 0.750 0.639
O12 0.739 0.055 0.328
O13 0.734 0.750 0.118
O14 0.353 0.750 0.946
O15 0.705 0.038 0.833
O16 0.261 0.555 0.672
P1 0.905 0.250 0.401
P2 0.576 0.250 0.899
P3 0.424 0.750 0.101
P4 0.095 0.750 0.599
Cu1 0.110 0.250 0.707
Cu2 0.890 0.750 0.293
Ti1 0.461 0.250 0.220
Ti2 0.539 0.750 0.780

Most stable structure, least stable structure: Q, P.

P:
The following is a PBEsol calculation of a relaxed ZnCuP2O7 crystal, from the Alexandria database.

calculated density	4071	kg/m3

a = 6.275 Å, b = 6.078 Å, c = 7.141 Å
α = 75.78°, β = 69.88°, γ = 80.93°
Atoms (fractional coordinates):
Cu1 0.093 0.663 0.776
Cu2 0.907 0.337 0.224
Zn1 0.285 0.941 0.197
Zn2 0.715 0.059 0.803
O1 0.607 0.396 0.190
O2 0.751 0.368 0.635
O3 0.249 0.632 0.365
O4 0.064 0.989 0.746
O5 0.621 0.750 0.456
O6 0.950 0.651 0.146
O7 0.393 0.604 0.810
O8 0.936 0.011 0.254
O9 0.785 0.736 0.735
O10 0.050 0.349 0.854
O11 0.215 0.264 0.265
O12 0.371 0.043 0.887
O13 0.379 0.250 0.544
O14 0.629 0.957 0.113
P1 0.790 0.841 0.235
P2 0.210 0.159 0.765
P3 0.362 0.400 0.326
P4 0.638 0.600 0.674

Q:
The following is a PBEsol calculation of a relaxed ZnCuP2O7 crystal, from the Alexandria database.

calculated density	4216	kg/m3

a = 6.891 Å, b = 8.225 Å, c = 9.057 Å
α = 90.00°, β = 111.63°, γ = 90.00°
Atoms (fractional coordinates):
P1 0.455 0.773 0.526
P2 0.052 0.766 0.236
P3 0.948 0.266 0.264
P4 0.455 0.727 0.026
P5 0.545 0.273 0.974
P6 0.052 0.734 0.736
P7 0.948 0.234 0.764
P8 0.545 0.227 0.474
O1 0.497 0.587 0.147
O2 0.377 0.266 0.049
O3 0.867 0.743 0.794
O4 0.623 0.766 0.451
O5 0.568 0.109 0.906
O6 0.982 0.097 0.885
O7 0.243 0.672 0.889
O8 0.018 0.597 0.615
O9 0.568 0.391 0.406
O10 0.497 0.913 0.647
O11 0.133 0.257 0.206
O12 0.503 0.087 0.353
O13 0.243 0.828 0.389
O14 0.623 0.734 0.951
O15 0.902 0.103 0.319
O16 0.098 0.897 0.681
O17 0.432 0.609 0.594
O18 0.867 0.757 0.294
O19 0.982 0.403 0.385
O20 0.377 0.234 0.549
O21 0.503 0.413 0.853
O22 0.432 0.891 0.094
O23 0.757 0.172 0.611
O24 0.902 0.397 0.819
O25 0.098 0.603 0.181
O26 0.018 0.903 0.115
O27 0.133 0.243 0.706
O28 0.757 0.328 0.111
Zn1 0.236 0.435 0.606
Zn2 0.764 0.565 0.394
Zn3 0.236 0.065 0.106
Zn4 0.764 0.935 0.894
Cu1 0.283 0.060 0.657
Cu2 0.717 0.560 0.843
Cu3 0.283 0.440 0.157
Cu4 0.717 0.940 0.343

R:
The following is a PBEsol calculation of a relaxed ZnCuP2O7 crystal, from the Alexandria database.

calculated density	4219	kg/m3

a = 4.547 Å, b = 5.296 Å, c = 5.296 Å
α = 101.41°, β = 101.01°, γ = 101.01°
Atoms (fractional coordinates):
Zn1 0.500 0.681 0.319
O1 0.781 0.606 0.626
O2 0.219 0.374 0.394
O3 0.279 0.931 0.632
O4 0.273 0.633 0.953
O5 0.727 0.047 0.367
O6 0.000 0.011 0.989
O7 0.721 0.368 0.069
P1 0.093 0.787 0.797
P2 0.907 0.203 0.213
Cu1 0.500 0.302 0.698

Most stable structure, least stable structure: Q, R.